Entry 1:
Material: LiPdF
Method: DFT, GGA-PBE
State: optimized geometry

Unit cell a=2.7277 b=2.7277 c=9.8938 alpha=90.00 beta=90.00 gamma=90.00
Sites, in units of the cell vectors:
1 Li 0.2500 0.2500 0.1062
2 Li 0.7500 0.7500 0.8938
3 Pd 0.2500 0.2500 0.6006
4 Pd 0.7500 0.7500 0.3994
5 F 0.2500 0.2500 0.8920
6 F 0.7500 0.7500 0.1080

Properties
Space-group type: P4/nmm (129)
ΔE to the lowest computed polymorph, eV/atom: 0.000
Total energy, eV per atom: -4.70

---

Entry 2:
Material: LiPdF
Method: DFT, GGA-PBE
State: optimized geometry

Unit cell a=2.8379 b=2.8309 c=9.4395 alpha=90.00 beta=90.04 gamma=90.00
Sites, in units of the cell vectors:
1 Li 0.0000 0.0000 0.0000
2 Li 0.4986 0.5000 0.2569
3 Pd 0.4968 0.5000 0.6784
4 Pd 0.9970 0.0000 0.4778
5 F 0.4998 0.0000 0.1368
6 F 0.9908 0.5000 0.8846

Properties
Space-group type: Pm (6)
ΔE to the lowest computed polymorph, eV/atom: 0.141
Total energy, eV per atom: -4.56

---

Entry 3:
Material: LiPdF2
Method: DFT, GGA-PBE
State: optimized geometry

Unit cell a=6.4403 b=6.4403 c=6.4403 alpha=25.93 beta=25.93 gamma=25.93
Sites, in units of the cell vectors:
1 Li 0.0000 0.0000 0.0000
2 Pd 0.5000 0.5000 0.5000
3 F 0.3920 0.3920 0.3920
4 F 0.6080 0.6080 0.6080

Properties
Space-group type: R-3m (166)
ΔE to the lowest computed polymorph, eV/atom: 0.000
Total energy, eV per atom: -4.63

---

Entry 4:
Material: Li2PdF
Method: DFT, GGA-PBE
State: optimized geometry

Unit cell a=5.3158 b=5.3158 c=5.3158 alpha=116.23 beta=116.23 gamma=96.66
Sites, in units of the cell vectors:
1 Li 0.0111 0.6250 0.8861
2 Li 0.3750 0.2611 0.3861
3 Li 0.7389 0.1250 0.1139
4 Li 0.8750 0.9889 0.6139
5 Pd 0.2500 0.7500 0.5000
6 Pd 0.5000 0.5000 0.0000
7 F 0.0000 0.0000 0.0000
8 F 0.7500 0.2500 0.5000

Properties
Space-group type: I-42d (122)
ΔE to the lowest computed polymorph, eV/atom: 0.336
Total energy, eV per atom: -4.03

---

Please write out number 4 again, unchanged.
Material: Li2PdF
Method: DFT, GGA-PBE
State: optimized geometry

Unit cell a=5.3158 b=5.3158 c=5.3158 alpha=116.23 beta=116.23 gamma=96.66
Sites, in units of the cell vectors:
1 Li 0.0111 0.6250 0.8861
2 Li 0.3750 0.2611 0.3861
3 Li 0.7389 0.1250 0.1139
4 Li 0.8750 0.9889 0.6139
5 Pd 0.2500 0.7500 0.5000
6 Pd 0.5000 0.5000 0.0000
7 F 0.0000 0.0000 0.0000
8 F 0.7500 0.2500 0.5000

Properties
Space-group type: I-42d (122)
ΔE to the lowest computed polymorph, eV/atom: 0.336
Total energy, eV per atom: -4.03

---

Please write out number 2 again, unchanged.
Material: LiPdF
Method: DFT, GGA-PBE
State: optimized geometry

Unit cell a=2.8379 b=2.8309 c=9.4395 alpha=90.00 beta=90.04 gamma=90.00
Sites, in units of the cell vectors:
1 Li 0.0000 0.0000 0.0000
2 Li 0.4986 0.5000 0.2569
3 Pd 0.4968 0.5000 0.6784
4 Pd 0.9970 0.0000 0.4778
5 F 0.4998 0.0000 0.1368
6 F 0.9908 0.5000 0.8846

Properties
Space-group type: Pm (6)
ΔE to the lowest computed polymorph, eV/atom: 0.141
Total energy, eV per atom: -4.56

---

Question: Which value of ΔE to the lowest computed polymorph does entry 1 give?
Answer: 0.000 eV/atom